1.
Entry from Alexandria: Sb2OsRhN after structural relaxation (PBE-GGA).

a b c (Å): 5.048 5.048 4.747
angles (deg): 90.00 90.00 90.00
Positions (direct):
Sb: 0.000 0.500 0.000
Sb: 0.500 0.000 0.000
Os: 0.000 0.000 0.000
Rh: 0.000 0.000 0.500
N: 0.500 0.500 0.500

Computed properties:
ΔE_f (raw)	1.9106	eV/atom
crystal system	tetragonal
energy above the lowest structure with this stoichiometry	1322	meV per atom

2.
Entry from Alexandria: CaPbW after structural relaxation (PBE-GGA).

a b c (Å): 5.957 5.957 5.957
angles (deg): 144.23 144.23 51.49
Positions (direct):
Ca: 0.000 0.000 0.000
Pb: 0.700 0.700 0.000
W: 0.314 0.314 0.000

Computed properties:
DFT formation energy	2.24	eV per formula unit
crystal system	tetragonal
energy above the lowest structure with this stoichiometry	70	meV per atom

3.
Entry from Alexandria: Tl5SiS4Cl2 after structural relaxation (PBE-GGA).

a b c (Å): 8.912 6.461 6.461
angles (deg): 100.18 90.00 90.00
Positions (direct):
Tl: 0.000 0.000 0.000
Tl: 0.268 0.314 0.681
Tl: 0.268 0.681 0.314
Tl: 0.732 0.314 0.681
Tl: 0.732 0.681 0.314
Si: 0.500 0.924 0.924
S: 0.317 0.095 0.095
S: 0.500 0.605 0.962
S: 0.500 0.962 0.605
S: 0.683 0.095 0.095
Cl: 0.000 0.541 0.980
Cl: 0.000 0.980 0.541

Computed properties:
ΔE_f (raw)	-0.6181	eV/atom
crystal system	orthorhombic

4.
Entry from Alexandria: AcInCu2 after structural relaxation (PBE-GGA).

a b c (Å): 4.967 4.967 3.765
angles (deg): 90.00 90.00 90.00
Positions (direct):
Ac: 0.000 0.000 0.000
In: 0.500 0.500 0.000
Cu: 0.000 0.500 0.500
Cu: 0.500 0.000 0.500

Computed properties:
DFT formation energy	0.13	eV per formula unit
crystal system	tetragonal

no.,total DFT energy (no corrections) (eV per atom),M_tot (μB per atom)
1,-5.12,0.00
2,-5.47,0.00
3,-3.74,0.00
4,-3.73,0.00